# 1
First-principles (GGA-PBE) data for a geometry-optimized LiPu2Pd2 structure, as listed in Alexandria via LeMat-Bulk.

Structure (POSCAR):
```
LiPu2Pd2
1.0
-0.986 1.665 -3.770
5.212 2.196 -0.394
-0.720 -5.593 0.100
Pd Pu Li
2 2 1
Cartesian
0.850 1.398 -1.986
3.376 2.463 -2.177
3.160 -0.359 -0.985
0.346 -1.373 -3.078
0.000 0.000 0.000
```

Results
**Raw total energy**: -42.66 eV/cell
**ΔE to the lowest computed polymorph**: 0.0 kJ per mole of atoms
**Symmetry**: Immm, No. 71
**Density of states at the Fermi level**: 4.12 states/eV/atom
**Formation energy from the elements**: -0.34 eV/atom


# 2
First-principles (GGA-PBE) data for a geometry-optimized Li2PuPd8 structure, as listed in Alexandria via LeMat-Bulk.

Structure (POSCAR):
```
Li2PuPd8
1.0
3.997 0.000 -1.217
-0.999 5.780 -3.283
0.077 0.324 7.429
Pd Li Pu
8 2 1
Cartesian
0.491 1.001 1.613
2.211 2.673 0.090
1.785 5.140 -1.312
1.291 0.964 4.242
-0.301 1.740 -0.988
2.585 5.103 1.317
3.376 4.364 3.918
0.864 3.431 2.841
0.123 4.159 0.404
2.952 1.945 2.526
1.999 0.000 -0.608
```

Results
**Raw total energy**: -63.07 eV/cell
**ΔE to the lowest computed polymorph**: 6.4 kJ per mole of atoms
**Symmetry**: Immm, No. 71
**Density of states at the Fermi level**: 1.06 states/eV/atom
**Formation energy from the elements**: -0.31 eV/atom


# 3
First-principles (GGA-PBE) data for a geometry-optimized LiPuPd2 structure, as listed in Alexandria via LeMat-Bulk.

Structure (POSCAR):
```
LiPuPd2
1.0
3.804 0.000 0.000
0.000 4.388 0.000
0.000 0.000 4.388
Pd Pu Li
2 1 1
Cartesian
0.000 0.000 2.194
0.000 2.194 0.000
1.902 0.000 0.000
1.902 2.194 2.194
```

Results
**Raw total energy**: -28.21 eV/cell
**Symmetry**: P4/mmm, No. 123
**Density of states at the Fermi level**: 2.75 states/eV/atom
**Formation energy from the elements**: -0.40 eV/atom


# 4
First-principles (GGA-PBE) data for a geometry-optimized LiPu2Pd3 structure, as listed in Alexandria via LeMat-Bulk.

Structure (POSCAR):
```
LiPu2Pd3
1.0
5.845 0.000 0.000
0.000 9.846 0.395
-2.923 -2.186 3.905
Pd Li Pu
6 2 4
Cartesian
0.733 0.003 1.284
3.656 2.733 2.818
3.644 7.384 0.296
2.189 7.656 3.016
2.201 2.461 0.099
-0.733 4.926 1.482
0.723 7.384 0.296
5.122 2.461 0.099
2.188 5.090 1.575
3.657 0.167 1.377
-0.734 7.492 2.923
0.734 2.569 2.725
```

Results
**Raw total energy**: -96.82 eV/cell
**ΔE to the lowest computed polymorph**: 12.4 kJ per mole of atoms
**Symmetry**: C2/c, No. 15
**Density of states at the Fermi level**: 3.30 states/eV/atom
**Formation energy from the elements**: -0.38 eV/atom


# 5
First-principles (GGA-PBE) data for a geometry-optimized LiPuPd2 structure, as listed in Alexandria via LeMat-Bulk.

Structure (POSCAR):
```
LiPuPd2
1.0
3.194 0.000 0.000
0.000 3.194 0.000
0.000 0.000 6.860
Pd Pu Li
2 1 1
Cartesian
0.000 0.000 1.443
0.000 0.000 5.417
1.597 1.597 3.430
1.597 1.597 0.000
```

Results
**Raw total energy**: -28.31 eV/cell
**Symmetry**: P4/mmm, No. 123
**Density of states at the Fermi level**: 2.12 states/eV/atom
**Formation energy from the elements**: -0.42 eV/atom


# 6
First-principles (GGA-PBE) data for a geometry-optimized LiPuPdRu structure, as listed in Alexandria via LeMat-Bulk.

Structure (POSCAR):
```
LiPuPdRu
1.0
4.564 0.000 0.000
2.282 3.952 0.000
2.282 1.317 3.726
Pu Li Pd Ru
1 1 1 1
Cartesian
4.564 2.635 1.863
0.000 0.000 0.000
6.845 3.952 2.795
2.282 1.317 0.932
```

Results
**Raw total energy**: -31.50 eV/cell
**Symmetry**: F-43m, No. 216
**Density of states at the Fermi level**: 1.10 states/eV/atom
**Formation energy from the elements**: -0.20 eV/atom


# 7
First-principles (GGA-PBE) data for a geometry-optimized Li3Pu3PdS8 structure, as listed in Alexandria via LeMat-Bulk.

Structure (POSCAR):
```
Li3Pu3PdS8
1.0
7.682 0.000 -0.001
-3.841 6.652 -0.023
-0.001 -4.414 6.135
S Li Pu Pd
8 3 3 1
Cartesian
-2.038 5.481 1.577
3.841 0.016 4.612
2.038 5.481 1.577
3.841 2.358 1.587
0.000 -0.120 4.525
5.879 -3.243 4.535
1.803 -3.243 4.535
0.000 2.222 1.500
0.000 0.000 0.000
1.921 3.326 -0.012
-1.920 3.326 -0.011
1.920 1.119 3.056
-1.921 1.119 3.056
3.841 -2.207 3.067
0.000 -2.207 3.068
```

Results
**Raw total energy**: -105.85 eV/cell
**Symmetry**: R-3m, No. 166
**Density of states at the Fermi level**: 1.68 states/eV/atom
**Energy relative to the elements, uncorrected**: -1.260 eV per atom


# 8
First-principles (GGA-PBE) data for a geometry-optimized LiPuSbPd structure, as listed in Alexandria via LeMat-Bulk.

Structure (POSCAR):
```
LiPuSbPd
1.0
4.837 0.000 0.000
2.418 4.189 0.000
2.418 1.396 3.949
Li Pu Sb Pd
1 1 1 1
Cartesian
7.255 4.189 2.962
4.837 2.793 1.975
0.000 0.000 0.000
2.418 1.396 0.987
```

Results
**Raw total energy**: -27.66 eV/cell
**Symmetry**: F-43m, No. 216
**Density of states at the Fermi level**: 3.00 states/eV/atom
**Energy relative to the elements, uncorrected**: -0.524 eV per atom


# 9
First-principles (GGA-PBE) data for a geometry-optimized LiPu2Sb3Pd4 structure, as listed in Alexandria via LeMat-Bulk.

Structure (POSCAR):
```
LiPu2Sb3Pd4
1.0
4.375 0.000 0.000
0.000 4.375 0.000
0.000 0.000 11.187
Pd Sb Pu Li
4 3 2 1
Cartesian
0.000 2.187 4.118
0.000 0.000 0.000
2.187 2.187 0.000
2.187 0.000 7.069
2.187 0.000 9.644
0.000 0.000 5.594
0.000 2.187 1.543
2.187 0.000 2.781
0.000 2.187 8.406
2.187 2.187 5.594
```

Results
**Raw total energy**: -69.80 eV/cell
**Symmetry**: P-4m2, No. 115
**Density of states at the Fermi level**: 3.25 states/eV/atom
**Energy relative to the elements, uncorrected**: -0.609 eV per atom


# 10
First-principles (GGA-PBE) data for a geometry-optimized LiPu2Sb4Pd3 structure, as listed in Alexandria via LeMat-Bulk.

Structure (POSCAR):
```
LiPu2Sb4Pd3
1.0
4.502 0.000 0.000
0.000 4.502 0.000
0.000 0.000 11.210
Pu Sb Li Pd
2 4 1 3
Cartesian
0.000 2.251 8.333
2.251 0.000 2.877
0.000 0.000 0.000
2.251 2.251 0.000
0.000 2.251 4.096
2.251 0.000 7.113
2.251 2.251 5.605
0.000 2.251 1.499
0.000 0.000 5.605
2.251 0.000 9.710
```

Results
**Raw total energy**: -68.23 eV/cell
**Symmetry**: P-4m2, No. 115
**Density of states at the Fermi level**: 3.15 states/eV/atom
**Energy relative to the elements, uncorrected**: -0.559 eV per atom


# 11
First-principles (GGA-PBE) data for a geometry-optimized LiPuSb2Pd4 structure, as listed in Alexandria via LeMat-Bulk.

Structure (POSCAR):
```
LiPuSb2Pd4
1.0
-0.077 -0.226 -4.532
-0.411 -4.020 -2.065
-8.488 -0.616 -2.096
Pd Li Pu Sb
4 1 1 2
Cartesian
-5.154 -0.936 -2.137
-7.061 -2.184 -4.315
-3.822 -3.926 -6.555
-1.916 -2.678 -4.378
-4.488 -2.431 -4.346
0.000 0.000 0.000
-6.556 -3.663 -6.522
-2.420 -1.199 -2.171
```

Results
**Raw total energy**: -49.84 eV/cell
**Symmetry**: R-3m, No. 166
**Density of states at the Fermi level**: 2.04 states/eV/atom
**Energy relative to the elements, uncorrected**: -0.572 eV per atom


# 12
First-principles (GGA-PBE) data for a geometry-optimized Li3Pu2PdSe6 structure, as listed in Alexandria via LeMat-Bulk.

Structure (POSCAR):
```
Li3Pu2PdSe6
1.0
6.825 0.001 0.019
-3.410 5.912 0.019
-1.121 -1.941 6.473
Se Pu Li Pd
6 2 3 1
Cartesian
3.379 2.055 4.830
2.356 4.079 1.593
2.203 0.019 1.680
-1.085 1.917 1.680
-0.062 -0.107 4.918
0.092 3.954 4.830
3.439 1.957 0.019
-0.024 3.957 0.019
-2.316 3.987 3.255
1.147 1.986 3.255
4.611 -0.014 3.255
0.000 0.000 0.000
```

Results
**Raw total energy**: -73.79 eV/cell
**Symmetry**: C2/m, No. 12
**Density of states at the Fermi level**: 1.61 states/eV/atom
**Energy relative to the elements, uncorrected**: -1.107 eV per atom


# 13
First-principles (GGA-PBE) data for a geometry-optimized LiPu2Si3Pd4 structure, as listed in Alexandria via LeMat-Bulk.

Structure (POSCAR):
```
LiPu2Si3Pd4
1.0
-1.072 -3.989 -0.263
2.881 -0.582 -2.914
6.874 -2.325 7.259
Pu Si Pd Li
2 3 4 1
Cartesian
1.202 -2.582 1.704
6.576 -2.028 3.967
2.362 -0.603 -0.484
3.437 -1.163 3.629
5.416 -4.008 6.154
3.977 -1.149 1.221
3.801 -3.462 4.449
0.000 0.000 0.000
0.904 -2.286 -1.589
4.341 -3.448 2.041
```

Results
**Raw total energy**: -74.15 eV/cell
**Symmetry**: P-4m2, No. 115
**Density of states at the Fermi level**: 2.68 states/eV/atom
**Energy relative to the elements, uncorrected**: -0.654 eV per atom


# 14
First-principles (GGA-PBE) data for a geometry-optimized LiSmPuPd structure, as listed in Alexandria via LeMat-Bulk.

Structure (POSCAR):
```
LiSmPuPd
1.0
5.066 0.000 0.000
2.533 4.387 0.000
2.533 1.462 4.136
Pu Pd Li Sm
1 1 1 1
Cartesian
7.598 4.387 3.102
0.000 0.000 0.000
5.066 2.925 2.068
2.533 1.462 1.034
```

Results
**Raw total energy**: -26.81 eV/cell
**Symmetry**: F-43m, No. 216
**Density of states at the Fermi level**: 2.13 states/eV/atom
**Formation energy from the elements**: -0.16 eV/atom


# 15
First-principles (GGA-PBE) data for a geometry-optimized LiPuSnPd structure, as listed in Alexandria via LeMat-Bulk.

Structure (POSCAR):
```
LiPuSnPd
1.0
-1.237 2.308 4.055
0.127 -2.319 4.232
3.375 1.119 3.265
Pu Li Pd Sn
1 1 1 1
Cartesian
1.699 0.831 8.664
0.000 0.000 0.000
1.132 0.554 5.776
0.566 0.277 2.888
```

Results
**Raw total energy**: -27.28 eV/cell
**Symmetry**: F-43m, No. 216
**Density of states at the Fermi level**: 2.31 states/eV/atom
**Formation energy from the elements**: -0.46 eV/atom


# 16
First-principles (GGA-PBE) data for a geometry-optimized LiPuSn2Pd4 structure, as listed in Alexandria via LeMat-Bulk.

Structure (POSCAR):
```
LiPuSn2Pd4
1.0
-3.094 3.324 0.367
-4.439 -0.975 -0.316
-2.828 -0.414 8.178
Pd Li Pu Sn
4 1 1 2
Cartesian
-7.656 1.885 3.210
-5.281 0.589 6.693
-5.080 1.345 1.537
-2.705 0.049 5.020
-5.181 0.967 4.115
0.000 0.000 0.000
-7.762 1.484 5.944
-2.599 0.450 2.286
```

Results
**Raw total energy**: -49.61 eV/cell
**Symmetry**: R-3m, No. 166
**Density of states at the Fermi level**: 2.11 states/eV/atom
**Formation energy from the elements**: -0.57 eV/atom


# 17
First-principles (GGA-PBE) data for a geometry-optimized LiTbPuPd structure, as listed in Alexandria via LeMat-Bulk.

Structure (POSCAR):
```
LiTbPuPd
1.0
5.022 0.000 0.000
2.511 4.349 0.000
2.511 1.450 4.101
Li Pd Tb Pu
1 1 1 1
Cartesian
0.000 0.000 0.000
5.022 2.900 2.050
2.511 1.450 1.025
7.533 4.349 3.075
```

Results
**Raw total energy**: -26.82 eV/cell
**Symmetry**: F-43m, No. 216
**Density of states at the Fermi level**: 1.96 states/eV/atom
**Formation energy from the elements**: -0.19 eV/atom


# 18
First-principles (GGA-PBE) data for a geometry-optimized LiPuTcPd structure, as listed in Alexandria via LeMat-Bulk.

Structure (POSCAR):
```
LiPuTcPd
1.0
4.544 0.000 0.000
2.272 3.935 0.000
2.272 1.312 3.710
Pd Li Tc Pu
1 1 1 1
Cartesian
0.000 0.000 0.000
6.816 3.935 2.783
4.544 2.624 1.855
2.272 1.312 0.928
```

Results
**Raw total energy**: -32.07 eV/cell
**Symmetry**: F-43m, No. 216
**Density of states at the Fermi level**: 0.80 states/eV/atom
**Formation energy from the elements**: -0.07 eV/atom


# 19
First-principles (GGA-PBE) data for a geometry-optimized Li2PuZnPd4 structure, as listed in Alexandria via LeMat-Bulk.

Structure (POSCAR):
```
Li2PuZnPd4
1.0
4.363 0.000 0.000
2.181 3.778 0.000
2.181 1.259 7.859
Pd Li Pu Zn
4 2 1 1
Cartesian
4.363 2.519 1.364
6.544 3.778 3.016
4.363 2.519 6.495
2.181 1.259 4.843
6.544 3.778 5.627
2.181 1.259 2.232
0.000 0.000 0.000
4.363 2.519 3.929
```

Results
**Raw total energy**: -43.98 eV/cell
**Symmetry**: R-3m, No. 166
**Density of states at the Fermi level**: 1.69 states/eV/atom
**Formation energy from the elements**: -0.47 eV/atom


# 20
First-principles (GGA-PBE) data for a geometry-optimized RbLiPd2 structure, as listed in Alexandria via LeMat-Bulk.

Structure (POSCAR):
```
RbLiPd2
1.0
4.979 0.000 0.000
0.000 4.979 0.000
2.489 2.489 8.829
Li Pd Rb
2 4 2
Cartesian
2.489 2.489 0.000
2.489 4.979 4.415
2.899 3.734 2.207
3.734 5.388 6.622
6.224 4.570 6.622
2.080 1.245 2.207
0.000 0.000 0.000
4.979 2.489 4.415
```

Results
**Raw total energy**: -25.34 eV/cell
**Symmetry**: I-42d, No. 122
**Density of states at the Fermi level**: 0.53 states/eV/atom
**Formation energy from the elements**: 0.15 eV/atom